1.
# PbSeBr2O, relaxed, DFT GGA-PBE
# Distance to the lowest polymorph of the same formula   0.000 eV per atom
data_PbSeBr2O
_chemical_formula_sum 'Pb1 Se1 Br2 O1'
_symmetry_space_group_name_H-M 'P 4/m m m'
_symmetry_Int_Tables_number 123
_symmetry_space_group_name_Hall '-P 4 2'
_cell_length_a 4.910
_cell_length_b 4.910
_cell_length_c 4.623
_cell_angle_alpha 90.00
_cell_angle_beta 90.00
_cell_angle_gamma 90.00
loop_
_atom_site_label
_atom_site_type_symbol
_atom_site_fract_x
_atom_site_fract_y
_atom_site_fract_z
Pb1 Pb 0.000 0.000 0.000
Se1 Se 0.500 0.500 0.000
Br1 Br 0.000 0.500 0.500
O1 O 0.500 0.500 0.500

2.
# PbSeBrO4

An optimized crystal structure of PbSeBrO4 (GGA-PBE, Alexandria).

Cell and atoms, written as CIF:
```
data_PbSeBrO4
_chemical_formula_sum 'Pb4 Se4 Br4 O16'
_symmetry_space_group_name_H-M 'C 1 2/m 1'
_symmetry_Int_Tables_number 12
_symmetry_space_group_name_Hall '-C 2y'
_cell_length_a 13.419
_cell_length_b 6.181
_cell_length_c 6.919
_cell_angle_alpha 90.00
_cell_angle_beta 110.08
_cell_angle_gamma 90.00
loop_
_atom_site_label
_atom_site_type_symbol
_atom_site_fract_x
_atom_site_fract_y
_atom_site_fract_z
Pb1 Pb 0.183 0.000 0.261
Se1 Se 0.164 0.000 0.754
Br1 Br 0.031 0.500 0.178
O1 O 0.050 0.000 0.798
O2 O 0.177 0.214 0.610
O3 O 0.237 0.500 0.019
```

3.
# PbSe2BrO, relaxed, DFT GGA-PBE
# Distance to the lowest polymorph of the same formula   0.000 eV per atom
data_PbSe2BrO
_chemical_formula_sum 'Pb1 Se2 Br1 O1'
_symmetry_space_group_name_H-M 'P 4/m m m'
_symmetry_Int_Tables_number 123
_symmetry_space_group_name_Hall '-P 4 2'
_cell_length_a 4.289
_cell_length_b 4.289
_cell_length_c 6.154
_cell_angle_alpha 90.00
_cell_angle_beta 90.00
_cell_angle_gamma 90.00
loop_
_atom_site_label
_atom_site_type_symbol
_atom_site_fract_x
_atom_site_fract_y
_atom_site_fract_z
Pb1 Pb 0.000 0.000 0.000
Se1 Se 0.000 0.500 0.500
Br1 Br 0.500 0.500 0.000
O1 O 0.500 0.500 0.500

4.
# PbSeBr2O, relaxed, DFT GGA-PBE
# Distance to the lowest polymorph of the same formula   0.544 eV per atom
data_PbSeBr2O
_chemical_formula_sum 'Pb1 Se1 Br2 O1'
_symmetry_space_group_name_H-M 'P 4/m m m'
_symmetry_Int_Tables_number 123
_symmetry_space_group_name_Hall '-P 4 2'
_cell_length_a 5.678
_cell_length_b 5.678
_cell_length_c 6.226
_cell_angle_alpha 90.00
_cell_angle_beta 90.00
_cell_angle_gamma 90.00
loop_
_atom_site_label
_atom_site_type_symbol
_atom_site_fract_x
_atom_site_fract_y
_atom_site_fract_z
Pb1 Pb 0.000 0.000 0.000
Se1 Se 0.000 0.000 0.500
Br1 Br 0.000 0.500 0.000
O1 O 0.500 0.500 0.500

5.
# SiPb4Br4O4

An optimized crystal structure of SiPb4Br4O4 (GGA-PBE, Alexandria).

Cell and atoms, written as CIF:
```
data_SiPb4Br4O4
_chemical_formula_sum 'Si4 Pb16 Br16 O16'
_symmetry_space_group_name_H-M 'P 1 21/c 1'
_symmetry_Int_Tables_number 14
_symmetry_space_group_name_Hall '-P 2ybc'
_cell_length_a 9.200
_cell_length_b 16.525
_cell_length_c 8.584
_cell_angle_alpha 90.00
_cell_angle_beta 91.94
_cell_angle_gamma 90.00
loop_
_atom_site_label
_atom_site_type_symbol
_atom_site_fract_x
_atom_site_fract_y
_atom_site_fract_z
Si1 Si 0.128 0.150 0.141
Pb1 Pb 0.063 0.703 0.014
Pb2 Pb 0.151 0.534 0.357
Pb3 Pb 0.331 0.017 0.300
Pb4 Pb 0.376 0.245 0.920
Br1 Br 0.000 0.000 0.500
Br2 Br 0.229 0.653 0.631
Br3 Br 0.314 0.123 0.663
Br4 Br 0.375 0.609 0.111
Br5 Br 0.500 0.000 0.000
O1 O 0.026 0.672 0.275
O2 O 0.119 0.051 0.098
O3 O 0.142 0.210 0.989
O4 O 0.276 0.157 0.256
```

6.
# Sn2PbBrO

An optimized crystal structure of Sn2PbBrO (GGA-PBE, Alexandria).

Cell and atoms, written as CIF:
```
data_Sn2PbBrO
_chemical_formula_sum 'Sn2 Pb1 Br1 O1'
_symmetry_space_group_name_H-M 'P 4/m m m'
_symmetry_Int_Tables_number 123
_symmetry_space_group_name_Hall '-P 4 2'
_cell_length_a 4.610
_cell_length_b 4.610
_cell_length_c 6.447
_cell_angle_alpha 90.00
_cell_angle_beta 90.00
_cell_angle_gamma 90.00
loop_
_atom_site_label
_atom_site_type_symbol
_atom_site_fract_x
_atom_site_fract_y
_atom_site_fract_z
Sn1 Sn 0.000 0.500 0.000
Pb1 Pb 0.000 0.000 0.500
Br1 Br 0.500 0.500 0.500
O1 O 0.500 0.500 0.000
```

7.
# SrPb2Br2O2

An optimized crystal structure of SrPb2Br2O2 (GGA-PBE, Alexandria).

Cell and atoms, written as CIF:
```
data_SrPb2Br2O2
_chemical_formula_sum 'Sr2 Pb4 Br4 O4'
_symmetry_space_group_name_H-M 'C 1 2/m 1'
_symmetry_Int_Tables_number 12
_symmetry_space_group_name_Hall '-C 2y'
_cell_length_a 13.700
_cell_length_b 4.041
_cell_length_c 8.442
_cell_angle_alpha 90.00
_cell_angle_beta 123.36
_cell_angle_gamma 90.00
loop_
_atom_site_label
_atom_site_type_symbol
_atom_site_fract_x
_atom_site_fract_y
_atom_site_fract_z
Sr1 Sr 0.000 0.000 0.000
Pb1 Pb 0.190 0.000 0.789
Br1 Br 0.059 0.500 0.311
O1 O 0.200 0.000 0.067
```

8.
# SrPbBrO2

An optimized crystal structure of SrPbBrO2 (GGA-PBE, Alexandria).

Cell and atoms, written as CIF:
```
data_SrPbBrO2
_chemical_formula_sum 'Sr2 Pb2 Br2 O4'
_symmetry_space_group_name_H-M 'P 1 21/m 1'
_symmetry_Int_Tables_number 11
_symmetry_space_group_name_Hall '-P 2yb'
_cell_length_a 7.052
_cell_length_b 4.367
_cell_length_c 8.209
_cell_angle_alpha 90.00
_cell_angle_beta 98.64
_cell_angle_gamma 90.00
loop_
_atom_site_label
_atom_site_type_symbol
_atom_site_fract_x
_atom_site_fract_y
_atom_site_fract_z
Sr1 Sr 0.178 0.250 0.402
Pb1 Pb 0.137 0.250 0.883
Br1 Br 0.481 0.750 0.277
O1 O 0.009 0.750 0.367
O2 O 0.022 0.750 0.897
```

9.
# Ta2PbBrO

An optimized crystal structure of Ta2PbBrO (GGA-PBE, Alexandria).

Cell and atoms, written as CIF:
```
data_Ta2PbBrO
_chemical_formula_sum 'Ta2 Pb1 Br1 O1'
_symmetry_space_group_name_H-M 'P 4/m m m'
_symmetry_Int_Tables_number 123
_symmetry_space_group_name_Hall '-P 4 2'
_cell_length_a 5.481
_cell_length_b 5.481
_cell_length_c 5.591
_cell_angle_alpha 90.00
_cell_angle_beta 90.00
_cell_angle_gamma 90.00
loop_
_atom_site_label
_atom_site_type_symbol
_atom_site_fract_x
_atom_site_fract_y
_atom_site_fract_z
Ta1 Ta 0.000 0.500 0.000
Pb1 Pb 0.000 0.000 0.000
Br1 Br 0.000 0.000 0.500
O1 O 0.500 0.500 0.500
```

10.
# Tc2PbBrO8

An optimized crystal structure of Tc2PbBrO8 (GGA-PBE, Alexandria).

Cell and atoms, written as CIF:
```
data_Tc2PbBrO8
_chemical_formula_sum 'Tc4 Pb2 Br2 O16'
_symmetry_space_group_name_H-M 'C 1 2/m 1'
_symmetry_Int_Tables_number 12
_symmetry_space_group_name_Hall '-C 2y'
_cell_length_a 11.652
_cell_length_b 6.720
_cell_length_c 7.451
_cell_angle_alpha 90.00
_cell_angle_beta 110.96
_cell_angle_gamma 90.00
loop_
_atom_site_label
_atom_site_type_symbol
_atom_site_fract_x
_atom_site_fract_y
_atom_site_fract_z
Tc1 Tc 0.197 0.000 0.110
Pb1 Pb 0.000 0.500 0.000
Br1 Br 0.000 0.000 0.500
O1 O 0.139 0.215 0.180
O2 O 0.142 0.500 0.802
O3 O 0.150 0.000 0.862
```

11.
# TePb3Br2O6

An optimized crystal structure of TePb3Br2O6 (GGA-PBE, Alexandria).

Cell and atoms, written as CIF:
```
data_TePb3Br2O6
_chemical_formula_sum 'Te2 Pb6 Br4 O12'
_symmetry_space_group_name_H-M 'C 1 2/m 1'
_symmetry_Int_Tables_number 12
_symmetry_space_group_name_Hall '-C 2y'
_cell_length_a 13.467
_cell_length_b 6.276
_cell_length_c 5.328
_cell_angle_alpha 90.00
_cell_angle_beta 98.11
_cell_angle_gamma 90.00
loop_
_atom_site_label
_atom_site_type_symbol
_atom_site_fract_x
_atom_site_fract_y
_atom_site_fract_z
Te1 Te 0.000 0.000 0.000
Pb1 Pb 0.000 0.500 0.500
Pb2 Pb 0.250 0.250 0.000
Br1 Br 0.197 0.500 0.443
O1 O 0.056 0.236 0.792
O2 O 0.132 0.000 0.187
```

12.
# Te2PbBrO

An optimized crystal structure of Te2PbBrO (GGA-PBE, Alexandria).

Cell and atoms, written as CIF:
```
data_Te2PbBrO
_chemical_formula_sum 'Te2 Pb1 Br1 O1'
_symmetry_space_group_name_H-M 'P 4/m m m'
_symmetry_Int_Tables_number 123
_symmetry_space_group_name_Hall '-P 4 2'
_cell_length_a 6.127
_cell_length_b 6.127
_cell_length_c 4.093
_cell_angle_alpha 90.00
_cell_angle_beta 90.00
_cell_angle_gamma 90.00
loop_
_atom_site_label
_atom_site_type_symbol
_atom_site_fract_x
_atom_site_fract_y
_atom_site_fract_z
Te1 Te 0.000 0.500 0.000
Pb1 Pb 0.000 0.000 0.000
Br1 Br 0.500 0.500 0.500
O1 O 0.000 0.000 0.500
```

no.,ΔE_f (raw) (meV per atom)
1,77
2,-725
3,-45
4,621
5,-1461
6,-268
7,-1577
8,-1666
9,2437
10,-1141
11,-685
12,300